Computed, not measured: an optimized crystal structure of Co2SbW at the PBEsol level of DFT.

Calculated values
VASP energy	-31.40	eV/cell
V	59.0	Å³/cell

Geometry as extended XYZ:
```
4
Lattice="2.906 0.000 0.000 1.453 2.516 0.000 1.453 0.839 8.064" Properties=species:S:1:pos:R:3 pbc="T T T"
Sb 2.906 1.678 4.198
Co 1.453 0.839 7.979
Co 4.358 2.516 6.170
W 1.453 0.839 1.813
```



Computed, not measured: an optimized crystal structure of Co2SbW at the PBEsol level of DFT.

Calculated values
VASP energy	-32.71	eV/cell
V	55.1	Å³/cell

Geometry as extended XYZ:
```
4
Lattice="3.540 0.000 0.000 0.000 3.947 0.000 0.000 0.000 3.947" Properties=species:S:1:pos:R:3 pbc="T T T"
Sb 1.770 1.974 1.974
Co 0.000 0.000 1.974
Co 0.000 1.974 0.000
W 1.770 0.000 0.000
```



Computed, not measured: an optimized crystal structure of Co3SbW at the PBEsol level of DFT.

Calculated values
VASP energy	-34.69	eV/cell
V	86.0	Å³/cell

Geometry as extended XYZ:
```
5
Lattice="-0.288 1.528 -4.131 -0.741 -4.098 -1.464 -4.342 0.598 0.524" Properties=species:S:1:pos:R:3 pbc="T T T"
Sb -2.685 -0.986 -2.536
Co -0.370 -2.049 -0.732
Co -2.171 0.299 0.262
Co -0.144 0.764 -2.066
W 0.000 0.000 0.000
```



Computed, not measured: an optimized crystal structure of CoSbW at the PBEsol level of DFT.

Calculated values
ΔE to the lowest computed polymorph	0.12	eV per formula unit
V	46.5	Å³/cell

Geometry as extended XYZ:
```
3
Lattice="-2.598 0.607 1.293 -1.395 -0.496 -2.569 1.444 -5.157 1.922" Properties=species:S:1:pos:R:3 pbc="T T T"
Co -2.537 -4.948 0.621
Sb -2.170 -1.548 -0.235
W -0.389 -3.597 0.905
```



Computed, not measured: an optimized crystal structure of CoSbW2 at the PBEsol level of DFT.

Calculated values
VASP energy	-37.66	eV/cell
V	61.3	Å³/cell

Geometry as extended XYZ:
```
4
Lattice="-0.457 1.590 -2.458 -2.815 0.444 0.811 1.895 5.803 3.402" Properties=species:S:1:pos:R:3 pbc="T T T"
Co -1.636 1.017 -0.823
Sb -0.688 3.919 0.878
W 1.480 4.531 2.656
W 0.415 1.272 0.746
```



Computed, not measured: an optimized crystal structure of CoSbW2 at the PBEsol level of DFT.

Calculated values
VASP energy	-38.10	eV/cell
V	62.8	Å³/cell

Geometry as extended XYZ:
```
4
Lattice="-1.524 0.743 -2.335 1.002 -2.622 -0.667 -6.337 -3.212 3.113" Properties=species:S:1:pos:R:3 pbc="T T T"
Co -3.267 -1.656 1.605
Sb -1.995 -1.818 -0.649
W -6.240 -3.163 3.066
W -4.863 -3.272 0.760
```



Computed, not measured: an optimized crystal structure of CoSbW2 at the PBEsol level of DFT.

Calculated values
VASP energy	-38.00	eV/cell
V	61.2	Å³/cell

Geometry as extended XYZ:
```
4
Lattice="3.987 0.000 0.000 0.000 3.987 0.000 -1.993 -1.993 3.851" Properties=species:S:1:pos:R:3 pbc="T T T"
Co 1.993 1.993 0.000
Sb 0.000 1.993 1.926
W 0.000 0.000 0.000
W 1.993 0.000 1.926
```



Computed, not measured: an optimized crystal structure of CoSbW at the PBEsol level of DFT.

Calculated values
ΔE to the lowest computed polymorph	1.18	eV per formula unit
V	55.4	Å³/cell

Geometry as extended XYZ:
```
3
Lattice="-1.474 -2.425 -3.202 -0.079 -4.259 0.403 -3.738 -2.042 0.409" Properties=species:S:1:pos:R:3 pbc="T T T"
Co 0.000 0.000 0.000
Sb -2.646 -4.363 -1.195
W -1.323 -2.181 -0.598
```



Computed, not measured: an optimized crystal structure of Y2CoSb at the PBEsol level of DFT.

Calculated values
VASP energy	-26.71	eV/cell
V	89.4	Å³/cell

Geometry as extended XYZ:
```
4
Lattice="3.318 0.025 0.000 -0.024 3.318 0.000 0.000 0.000 8.120" Properties=species:S:1:pos:R:3 pbc="T T T"
Co 0.000 0.000 3.719
Sb 1.647 1.672 2.525
Y 0.000 0.000 0.353
Y 1.647 1.672 5.582
```



Computed, not measured: an optimized crystal structure of Y2CoSb at the PBEsol level of DFT.

Calculated values
VASP energy	-27.75	eV/cell
V	87.5	Å³/cell

Geometry as extended XYZ:
```
4
Lattice="3.435 0.000 0.000 0.000 4.617 0.000 -1.718 -2.308 5.518" Properties=species:S:1:pos:R:3 pbc="T T T"
Co 1.718 2.308 0.158
Sb 0.000 2.308 2.130
Y 0.000 0.000 0.020
Y 1.718 0.000 3.211
```



Computed, not measured: an optimized crystal structure of YCoSb2 at the PBEsol level of DFT.

Calculated values
VASP energy	-23.51	eV/cell
V	86.9	Å³/cell

Geometry as extended XYZ:
```
4
Lattice="-4.300 -0.614 -2.420 -4.094 -1.309 2.499 -3.690 3.275 0.617" Properties=species:S:1:pos:R:3 pbc="T T T"
Co -6.042 0.676 0.348
Sb 0.000 0.000 0.000
Sb -3.021 0.338 0.174
Y -9.063 1.013 0.522
```



Computed, not measured: an optimized crystal structure of YCoSb2 at the PBEsol level of DFT.

Calculated values
VASP energy	-25.25	eV/cell
V	88.6	Å³/cell

Geometry as extended XYZ:
```
4
Lattice="-0.924 -2.417 3.041 -3.010 -2.445 -2.858 4.348 -2.085 -0.337" Properties=species:S:1:pos:R:3 pbc="T T T"
Co -1.967 -2.431 0.092
Sb -0.102 -1.156 -0.950
Sb 1.440 -3.375 -2.245
Y 1.712 -2.251 1.352
```



Computed, not measured: an optimized crystal structure of YCoSb2 at the PBEsol level of DFT.

Calculated values
VASP energy	-24.02	eV/cell
V	85.4	Å³/cell

Geometry as extended XYZ:
```
4
Lattice="4.753 0.000 0.000 -2.376 4.467 -0.026 0.000 -2.505 4.039" Properties=species:S:1:pos:R:3 pbc="T T T"
Co 0.000 0.000 0.000
Sb 2.376 1.607 0.997
Sb 0.000 0.355 3.016
Y 2.376 -1.253 2.019
```



Computed, not measured: an optimized crystal structure of Y2CoSb at the PBEsol level of DFT.

Calculated values
VASP energy	-53.67	eV/cell
V	183.1	Å³/cell

Geometry as extended XYZ:
```
8
Lattice="-5.265 -3.154 -1.187 5.496 -2.208 -2.001 0.476 -0.052 6.233" Properties=species:S:1:pos:R:3 pbc="T T T"
Y 0.719 -4.530 0.032
Y 0.045 -2.224 2.216
Y 2.904 -1.694 4.587
Y -2.255 -2.379 -0.745
Sb 0.000 0.000 0.000
Sb 3.043 -2.470 1.319
Co 0.115 -2.681 -1.594
Co -2.337 -2.943 1.726
```



Computed, not measured: an optimized crystal structure of YCoSb2 at the PBEsol level of DFT.

Calculated values
VASP energy	-24.78	eV/cell
V	89.6	Å³/cell

Geometry as extended XYZ:
```
4
Lattice="3.837 0.000 0.000 0.000 4.017 0.000 0.000 -2.009 5.813" Properties=species:S:1:pos:R:3 pbc="T T T"
Co 1.919 2.009 5.391
Sb 0.000 2.009 3.748
Sb 1.919 0.000 2.039
Y 0.000 2.009 0.437
```



Computed, not measured: an optimized crystal structure of YCoSb2 at the PBEsol level of DFT.

Calculated values
VASP energy	-50.51	eV/cell
V	174.0	Å³/cell

Geometry as extended XYZ:
```
8
Lattice="-4.667 -0.783 -3.616 -2.231 -5.699 -0.791 -5.690 0.343 2.364" Properties=species:S:1:pos:R:3 pbc="T T T"
Y -7.460 -3.265 -1.925
Y 0.000 0.000 0.000
Sb -5.439 -5.316 -0.411
Sb -5.981 -0.627 -0.728
Sb -3.099 -2.735 -1.538
Sb -10.655 -3.599 -1.408
Co -5.127 -2.874 -0.117
Co -2.333 -0.392 -1.808
```



Computed, not measured: an optimized crystal structure of Zn2CoSb at the PBEsol level of DFT.

Calculated values
VASP energy	-14.75	eV/cell
V	59.8	Å³/cell

Geometry as extended XYZ:
```
4
Lattice="3.933 0.000 0.000 0.000 3.933 0.000 -1.966 -1.966 3.865" Properties=species:S:1:pos:R:3 pbc="T T T"
Co 1.966 1.966 0.000
Sb 0.000 1.966 1.933
Zn 0.000 0.000 0.000
Zn 1.966 0.000 1.933
```



Computed, not measured: an optimized crystal structure of ZnCoSb2 at the PBEsol level of DFT.

Calculated values
VASP energy	-17.13	eV/cell
V	72.2	Å³/cell

Geometry as extended XYZ:
```
4
Lattice="4.683 0.000 0.000 -2.342 4.038 0.169 0.000 2.552 3.927" Properties=species:S:1:pos:R:3 pbc="T T T"
Co 0.000 0.000 0.000
Sb 0.000 2.657 1.066
Sb 2.342 3.933 3.029
Zn 2.342 1.276 1.963
```



Computed, not measured: an optimized crystal structure of ZnCo2Sb at the PBEsol level of DFT.

Calculated values
VASP energy	-21.55	eV/cell
V	52.0	Å³/cell

Geometry as extended XYZ:
```
4
Lattice="-3.249 0.189 0.830 -0.976 -0.069 -3.809 -0.197 -3.926 0.121" Properties=species:S:1:pos:R:3 pbc="T T T"
Sb -2.211 -1.903 -1.429
Zn -1.625 0.094 0.415
Co -0.488 -0.035 -1.905
Co -0.098 -1.963 0.060
```



Computed, not measured: an optimized crystal structure of ZnCoSb2 at the PBEsol level of DFT.

Calculated values
VASP energy	-18.24	eV/cell
V	77.4	Å³/cell

Geometry as extended XYZ:
```
4
Lattice="-2.815 -0.162 -2.376 -2.034 -3.066 -0.243 -5.662 1.241 3.762" Properties=species:S:1:pos:R:3 pbc="T T T"
Co -5.255 -0.993 0.571
Sb -7.709 -1.589 0.658
Sb -2.801 -0.397 0.485
Zn 0.000 0.000 0.000
```



Computed, not measured: an optimized crystal structure of ZnCoSb3 at the PBEsol level of DFT.

Calculated values
VASP energy	-20.91	eV/cell
V	116.8	Å³/cell

Geometry as extended XYZ:
```
5
Lattice="-4.022 1.830 -2.091 -0.344 -3.978 -2.819 -2.757 -2.172 3.402" Properties=species:S:1:pos:R:3 pbc="T T T"
Sb -0.172 -1.989 -1.410
Sb -1.379 -1.086 1.701
Sb -2.011 0.915 -1.045
Zn -3.562 -2.160 -0.754
Co 0.000 0.000 0.000
```



Computed, not measured: an optimized crystal structure of ZnCoSb2 at the PBEsol level of DFT.

Calculated values
VASP energy	-16.95	eV/cell
V	72.8	Å³/cell

Geometry as extended XYZ:
```
4
Lattice="-1.793 1.122 -2.510 -3.922 -0.286 2.674 1.459 4.428 0.938" Properties=species:S:1:pos:R:3 pbc="T T T"
Co -2.128 2.632 0.551
Sb -1.961 -0.143 1.337
Sb 0.730 2.214 0.469
Zn -0.897 0.561 -1.255
```



Computed, not measured: an optimized crystal structure of ZrCo2Sb2 at the PBEsol level of DFT.

Calculated values
VASP energy	-34.38	eV/cell
V	87.3	Å³/cell

Geometry as extended XYZ:
```
5
Lattice="3.977 0.000 0.000 0.000 3.977 0.000 -1.989 -1.989 5.516" Properties=species:S:1:pos:R:3 pbc="T T T"
Sb 0.000 0.000 4.123
Sb 1.989 1.989 1.393
Co 0.000 1.989 2.758
Co 1.989 0.000 2.758
Zr 0.000 0.000 0.000
```



Computed, not measured: an optimized crystal structure of Zr6CoSb2 at the PBEsol level of DFT.

Calculated values
VASP energy	-76.94	eV/cell
V	184.5	Å³/cell

Geometry as extended XYZ:
```
9
Lattice="3.568 0.000 0.000 0.000 7.727 0.000 0.000 -3.863 6.692" Properties=species:S:1:pos:R:3 pbc="T T T"
Sb 0.000 0.000 4.461
Sb 0.000 3.863 2.231
Co 1.784 0.000 0.000
Zr 0.000 5.869 0.000
Zr 0.000 -2.935 5.083
Zr 0.000 0.929 1.609
Zr 1.784 2.309 4.000
Zr 1.784 -1.554 2.692
Zr 1.784 3.108 0.000
```



Computed, not measured: an optimized crystal structure of Zr5CoSb3 at the PBEsol level of DFT.

Calculated values
VASP energy	-147.11	eV/cell
V	359.9	Å³/cell

Geometry as extended XYZ:
```
18
Lattice="-3.991 -1.109 -3.931 0.424 -8.303 1.911 -5.483 5.055 4.141" Properties=species:S:1:pos:R:3 pbc="T T T"
Co 0.000 0.000 0.000
Co -1.995 -0.554 -1.965
Sb -5.139 1.147 -1.327
Sb -2.827 -4.081 -2.200
Sb -6.072 -2.808 0.735
Sb -4.335 2.799 1.538
Sb -0.739 -5.330 0.180
Sb -2.978 -1.548 1.386
Zr -7.102 2.957 0.155
Zr -2.675 -7.053 -1.516
Zr -4.261 -1.645 -1.431
Zr -2.372 0.990 0.055
Zr -0.891 -2.358 -0.504
Zr -4.789 -2.711 3.553
Zr -3.514 0.602 3.398
Zr -3.540 -4.405 0.689
Zr -1.545 -3.850 2.654
Zr -5.509 0.048 1.432
```



Computed, not measured: an optimized crystal structure of ZrCo2Sb at the PBEsol level of DFT.

Calculated values
VASP energy	-29.51	eV/cell
V	62.3	Å³/cell

Geometry as extended XYZ:
```
4
Lattice="-2.165 1.947 -1.830 0.694 -1.864 -2.805 -3.955 -3.273 1.196" Properties=species:S:1:pos:R:3 pbc="T T T"
Sb -1.768 -1.463 0.535
Co -3.836 -3.174 1.159
Co -1.854 -0.884 -1.979
Zr -3.900 -2.577 -1.361
```



Computed, not measured: an optimized crystal structure of Zr2CoSb at the PBEsol level of DFT.

Calculated values
VASP energy	-31.73	eV/cell
V	74.5	Å³/cell

Geometry as extended XYZ:
```
4
Lattice="3.102 0.010 0.000 -0.509 3.060 0.000 0.000 0.000 7.847" Properties=species:S:1:pos:R:3 pbc="T T T"
Co 1.296 1.535 3.923
Sb 1.296 1.535 0.000
Zr 0.000 0.000 2.280
Zr 0.000 0.000 5.567
```



Computed, not measured: an optimized crystal structure of ZrCo2Sb at the PBEsol level of DFT.

Calculated values
VASP energy	-56.65	eV/cell
V	136.8	Å³/cell

Geometry as extended XYZ:
```
8
Lattice="-3.791 -1.326 -0.679 -0.540 -0.508 4.005 -0.645 8.647 -1.062" Properties=species:S:1:pos:R:3 pbc="T T T"
Sb -1.675 3.611 2.303
Sb 0.000 0.000 0.000
Co -1.975 1.248 2.999
Co -3.761 0.783 0.628
Co -1.014 6.267 -0.466
Co -3.202 5.328 1.367
Zr -3.301 3.202 -0.039
Zr -2.165 -0.917 1.663
```